[1]
The following is a GGA-PBE calculation of an optimized crystal structure of P2OsOF, from Alexandria via LeMat-Bulk.

Cell: 3.864 3.864 4.079 Å, 90.00 90.00 90.00°
Atoms (fractional coordinates):
F 0.000 0.000 0.000
P 0.000 0.500 0.000
P 0.500 0.000 0.000
O 0.000 0.000 0.500
Os 0.500 0.500 0.500

V (Å³ per cell): 61
Calculated density (g cm⁻³): 7.828
E_form (uncorrected) (meV per atom): 1090
Space group: No. 123

[2]
The following is a GGA-PBE calculation of an optimized crystal structure of PaTa4Si2, from Alexandria via LeMat-Bulk.

Cell: 4.380 3.610 8.395 Å, 102.42 90.00 90.00°
Atoms (fractional coordinates):
Si 0.500 0.571 0.142
Si 0.500 0.429 0.858
Pa 0.000 0.000 0.000
Ta 0.500 0.818 0.636
Ta 0.500 0.182 0.364
Ta 0.000 0.327 0.654
Ta 0.000 0.673 0.346

V (Å³ per cell): 130
Calculated density (g cm⁻³): 12.950
E_form (uncorrected) (meV per atom): -351
Space group: No. 65

[3]
The following is a GGA-PBE calculation of an optimized crystal structure of Cr3C, from Alexandria via LeMat-Bulk.

Cell: 3.751 3.751 2.878 Å, 90.00 90.00 102.32°
Atoms (fractional coordinates):
C 0.000 0.000 0.000
Cr 0.500 0.000 0.500
Cr 0.000 0.500 0.500
Cr 0.500 0.500 0.000

V (Å³ per cell): 40
Calculated density (g cm⁻³): 7.050
Space group: No. 65
E_form (eV per atom): 0.65

[4]
The following is a GGA-PBE calculation of an optimized crystal structure of DyMn2Fe, from Alexandria via LeMat-Bulk.

Cell: 3.914 3.914 5.466 Å, 69.02 69.02 60.00°
Atoms (fractional coordinates):
Fe 0.500 0.500 0.500
Mn 0.192 0.192 0.424
Mn 0.808 0.808 0.576
Dy 0.000 0.000 0.000

V (Å³ per cell): 66
Calculated density (g cm⁻³): 8.253
Space group: No. 166
E_form (eV per atom): 0.20

[5]
The following is a GGA-PBE calculation of an optimized crystal structure of NaGaIr3, from Alexandria via LeMat-Bulk.

Cell: 4.625 4.625 4.625 Å, 90.00 90.00 90.00°
Atoms (fractional coordinates):
Ga 0.000 0.000 0.000
Ir 0.000 0.000 0.500
Ir 0.500 0.000 0.000
Ir 0.000 0.500 0.000
Na 0.500 0.500 0.500

V (Å³ per cell): 99
Calculated density (g cm⁻³): 11.232
Space group: No. 221
E_form (eV per atom): 1.11

[6]
The following is a GGA-PBE calculation of an optimized crystal structure of Al2SbPbN, from Alexandria via LeMat-Bulk.

Cell: 4.414 5.032 4.414 Å, 90.00 90.00 90.00°
Atoms (fractional coordinates):
Al 0.500 0.000 0.000
Al 0.000 0.000 0.500
Sb 0.000 0.500 0.000
Pb 0.500 0.500 0.500
N 0.000 0.000 0.000

V (Å³ per cell): 98
Calculated density (g cm⁻³): 6.721
E_form (uncorrected) (meV per atom): 353
Space group: No. 123

Question: Which of these has the lowest calculated density?
Answer: Al2SbPbN